# 1
VASP calculation (PBE) on an optimized crystal structure of MgGaMo2. Values from VASP.

Geometry as Quantum ESPRESSO input:
```
&SYSTEM
  ibrav = 0, nat = 4, ntyp = 3
/
ATOMIC_SPECIES
Mo 95.94 Mo.upf
Mg 24.30 Mg.upf
Ga 69.72 Ga.upf
CELL_PARAMETERS angstrom
-3.9919 -0.4666 1.9822
-3.5602 -1.2748 -2.4045
-1.7497 -4.0846 0.5804
ATOMIC_POSITIONS angstrom
Mo -2.3255 -1.4565 0.0395
Mo -6.9764 -4.3695 0.1185
Mg 0.0000 0.0000 0.0000
Ga -4.6509 -2.9130 0.0790
```

Output
* total magnetization: 0.0 μB per formula unit
* energy of formation from the pure elements: 0.467 eV/atom
* excess energy over the best structure of this formula in the dataset: 0 meV/atom
* space-group type: Fm-3m, No. 225
* DOS at the Fermi energy: 4.23 states/eV/cell

***

# 2
VASP calculation (PBE) on an optimized crystal structure of La2GaSiGe. Values from VASP.

Geometry as Quantum ESPRESSO input:
```
&SYSTEM
  ibrav = 0, nat = 10, ntyp = 4
/
ATOMIC_SPECIES
La 138.91 La.upf
Ga 69.72 Ga.upf
Si 28.09 Si.upf
Ge 72.64 Ge.upf
CELL_PARAMETERS angstrom
-2.6586 -2.6603 -1.7892
3.2445 -5.7815 3.7754
-5.3044 1.1033 6.2415
ATOMIC_POSITIONS angstrom
La -2.1512 -5.8208 4.5799
La 0.4113 -6.3533 1.5640
La -2.5674 -1.5177 3.6478
La -5.1298 -0.9853 6.6637
Ga -2.7257 -3.2564 6.4684
Ga -1.9928 -4.0822 1.7594
Si -0.1178 -3.7291 3.2960
Si -4.6007 -3.6095 4.9318
Ge -1.6715 -5.1337 7.6932
Ge -3.0470 -2.2049 0.5346
```

Output
* total magnetization: 0.0 μB per formula unit
* raw total energy: -5.2513 eV/atom
* space-group type: Pmmn, No. 59
* DOS at the Fermi energy: 6.90 states/eV/cell